A relaxed structure of Gd2AgHg, computed with PBE.

Uncorrected energy, eV per atom: -8.22
Mass density, g cm⁻³: 10.1

a = 5.247 Å, b = 5.247 Å, c = 5.247 Å
α = 60.00°, β = 60.00°, γ = 60.00°
Sites, in units of the cell vectors:
Ag 0.250 0.250 0.250
Gd 0.000 0.000 0.000
Gd 0.500 0.500 0.500
Hg 0.750 0.750 0.750